This record from the Alexandria database describes an optimized crystal structure of BeRe2Os. The functional is PBE.

Calculated values
* energy relative to the elements: 0.193 eV per atom

Cell lengths 4.8593, 4.8593, 4.8593 Å; angles 136.01, 136.01, 63.96 degrees
Atoms (fractional coordinates):
Os1 0.7500 0.2500 0.5000
Re1 0.0000 0.0000 0.0000
Re2 0.5000 0.5000 0.0000
Be1 0.2500 0.7500 0.5000